Entry from Alexandria via LeMat-Bulk: a relaxed LaPt2Rh2 crystal (GGA-PBE).

abc: 6.803 6.803 6.803
angles: 146.11 146.11 48.69
Fractional coordinates of all 5 atoms:
La 0.000 0.000 0.000
Pt 0.396 0.396 0.000
Pt 0.604 0.604 0.000
Rh 0.250 0.750 0.500
Rh 0.750 0.250 0.500

ΔE to the lowest computed polymorph (kJ per mole of atoms): 0.0
Uncorrected energy (eV per atom): -6.757
SG: I4/mmm (139)
Energy of formation from the pure elements (kJ/mol of formula units): -200.0